## i
{
  "formula": "BaHI",
  "functional": "GGA-PBE",
  "state": "optimized geometry",
  "space_group": "F-43m (216)",
  "lattice_angstrom": [[0.0000, 3.8748, 3.8748], [3.8748, 0.0000, 3.8748], [3.8748, 3.8748, 0.0000]],
  "species": ["Ba", "H", "I"],
  "fractional_positions": [[0.0000, 0.0000, 0.0000], [0.7500, 0.7500, 0.7500], [0.2500, 0.2500, 0.2500]]
}

=====

## ii
{
  "formula": "BaHI",
  "functional": "GGA-PBE",
  "state": "optimized geometry",
  "space_group": "I4mm (107)",
  "lattice_angstrom": [[-1.9874, 1.9874, 5.8791], [1.9874, -1.9874, 5.8791], [1.9874, 1.9874, -5.8791]],
  "species": ["Ba", "H", "I"],
  "fractional_positions": [[0.0000, 0.0000, 0.0000], [0.5587, 0.5587, 0.0000], [0.2988, 0.2988, 0.0000]]
}

=====

## iii
{
  "formula": "BaHI",
  "functional": "GGA-PBE",
  "state": "optimized geometry",
  "space_group": "P-6m2 (187)",
  "lattice_angstrom": [[4.5299, 0.0000, 0.0000], [-2.2650, 3.9230, 0.0000], [0.0000, 0.0000, 5.1034]],
  "species": ["Ba", "H", "I"],
  "fractional_positions": [[0.0000, 0.0000, 0.0000], [0.3333, 0.6667, 0.0000], [0.6667, 0.3333, 0.5000]]
}

=====

## iv
{
  "formula": "BaHI",
  "functional": "GGA-PBE",
  "state": "optimized geometry",
  "space_group": "P4/nmm (129)",
  "lattice_angstrom": [[4.7412, 0.0000, 0.0000], [0.0000, 4.7412, 0.0000], [0.0000, 0.0000, 7.9031]],
  "species": ["Ba", "Ba", "H", "H", "I", "I"],
  "fractional_positions": [[0.2500, 0.2500, 0.1722], [0.7500, 0.7500, 0.8278], [0.2500, 0.7500, 0.0000], [0.7500, 0.2500, 0.0000], [0.2500, 0.2500, 0.6596], [0.7500, 0.7500, 0.3404]]
}

=====

Sorted by energy, starting with the most stable: iv, iii, ii, i.

=====

## i
{
  "formula": "BaH3I",
  "functional": "GGA-PBE",
  "state": "optimized geometry",
  "space_group": "Pm-3m (221)",
  "lattice_angstrom": [[4.5883, 0.0000, 0.0000], [0.0000, 4.5883, 0.0000], [0.0000, 0.0000, 4.5883]],
  "species": ["Ba", "H", "H", "H", "I"],
  "fractional_positions": [[0.0000, 0.0000, 0.0000], [0.0000, 0.5000, 0.5000], [0.5000, 0.0000, 0.5000], [0.5000, 0.5000, 0.0000], [0.5000, 0.5000, 0.5000]]
}

=====

## ii
{
  "formula": "BaH3I",
  "functional": "GGA-PBE",
  "state": "optimized geometry",
  "space_group": "Pm-3m (221)",
  "lattice_angstrom": [[4.8241, 0.0000, 0.0000], [0.0000, 4.8241, 0.0000], [0.0000, 0.0000, 4.8241]],
  "species": ["Ba", "H", "H", "H", "I"],
  "fractional_positions": [[0.0000, 0.0000, 0.0000], [0.0000, 0.0000, 0.5000], [0.0000, 0.5000, 0.0000], [0.5000, 0.0000, 0.0000], [0.5000, 0.5000, 0.5000]]
}

=====

Sorted by energy, starting with the most stable: ii, i.

=====

## i
{
  "formula": "BaHI2O",
  "functional": "GGA-PBE",
  "state": "optimized geometry",
  "space_group": "P4/mmm (123)",
  "lattice_angstrom": [[4.4679, 0.0000, 0.0000], [0.0000, 4.4679, 0.0000], [0.0000, 0.0000, 6.5822]],
  "species": ["Ba", "H", "I", "I", "O"],
  "fractional_positions": [[0.0000, 0.0000, 0.0000], [0.5000, 0.5000, 0.5000], [0.0000, 0.5000, 0.5000], [0.5000, 0.0000, 0.5000], [0.5000, 0.5000, 0.0000]]
}

=====

## ii
{
  "formula": "BaHI2O",
  "functional": "GGA-PBE",
  "state": "optimized geometry",
  "space_group": "P4/mmm (123)",
  "lattice_angstrom": [[7.2728, 0.0000, 0.0000], [0.0000, 7.2728, 0.0000], [0.0000, 0.0000, 4.5290]],
  "species": ["Ba", "H", "I", "I", "O"],
  "fractional_positions": [[0.0000, 0.0000, 0.0000], [0.5000, 0.5000, 0.5000], [0.0000, 0.5000, 0.0000], [0.5000, 0.0000, 0.0000], [0.0000, 0.0000, 0.5000]]
}

=====

Sorted by energy, starting with the most stable: i, ii.

=====

## i
{
  "formula": "BaSb2HI",
  "functional": "GGA-PBE",
  "state": "optimized geometry",
  "space_group": "P4/mmm (123)",
  "lattice_angstrom": [[4.6884, 0.0000, 0.0000], [0.0000, 4.6884, 0.0000], [0.0000, 0.0000, 6.8065]],
  "species": ["Ba", "Sb", "Sb", "H", "I"],
  "fractional_positions": [[0.0000, 0.0000, 0.0000], [0.0000, 0.5000, 0.5000], [0.5000, 0.0000, 0.5000], [0.5000, 0.5000, 0.5000], [0.5000, 0.5000, 0.0000]]
}

=====

## ii
{
  "formula": "BaSb2HI",
  "functional": "GGA-PBE",
  "state": "optimized geometry",
  "space_group": "P4/mmm (123)",
  "lattice_angstrom": [[7.2210, 0.0000, 0.0000], [0.0000, 7.2210, 0.0000], [0.0000, 0.0000, 6.7187]],
  "species": ["Ba", "Sb", "Sb", "H", "I"],
  "fractional_positions": [[0.0000, 0.0000, 0.0000], [0.0000, 0.5000, 0.0000], [0.5000, 0.0000, 0.0000], [0.5000, 0.5000, 0.5000], [0.0000, 0.0000, 0.5000]]
}

=====

Sorted by energy, starting with the most stable: i, ii.

=====

## i
{
  "formula": "BaTeHI2",
  "functional": "GGA-PBE",
  "state": "optimized geometry",
  "space_group": "P4/mmm (123)",
  "lattice_angstrom": [[6.0434, 0.0000, 0.0000], [0.0000, 6.0434, 0.0000], [0.0000, 0.0000, 4.1971]],
  "species": ["Ba", "Te", "H", "I", "I"],
  "fractional_positions": [[0.0000, 0.0000, 0.0000], [0.5000, 0.5000, 0.0000], [0.5000, 0.5000, 0.5000], [0.0000, 0.5000, 0.5000], [0.5000, 0.0000, 0.5000]]
}

=====

## ii
{
  "formula": "BaTeHI2",
  "functional": "GGA-PBE",
  "state": "optimized geometry",
  "space_group": "P4/mmm (123)",
  "lattice_angstrom": [[6.7730, 0.0000, 0.0000], [0.0000, 6.7730, 0.0000], [0.0000, 0.0000, 7.1703]],
  "species": ["Ba", "Te", "H", "I", "I"],
  "fractional_positions": [[0.0000, 0.0000, 0.0000], [0.0000, 0.0000, 0.5000], [0.5000, 0.5000, 0.5000], [0.0000, 0.5000, 0.0000], [0.5000, 0.0000, 0.0000]]
}

=====

Sorted by energy, starting with the most stable: i, ii.

=====

## i
{
  "formula": "BaTe2HI",
  "functional": "GGA-PBE",
  "state": "optimized geometry",
  "space_group": "P4/mmm (123)",
  "lattice_angstrom": [[4.7512, 0.0000, 0.0000], [0.0000, 4.7512, 0.0000], [0.0000, 0.0000, 6.6481]],
  "species": ["Ba", "Te", "Te", "H", "I"],
  "fractional_positions": [[0.0000, 0.0000, 0.0000], [0.0000, 0.5000, 0.5000], [0.5000, 0.0000, 0.5000], [0.5000, 0.5000, 0.5000], [0.5000, 0.5000, 0.0000]]
}

=====

## ii
{
  "formula": "BaTe2HI",
  "functional": "GGA-PBE",
  "state": "optimized geometry",
  "space_group": "P4/mmm (123)",
  "lattice_angstrom": [[6.9897, 0.0000, 0.0000], [0.0000, 6.9897, 0.0000], [0.0000, 0.0000, 6.7517]],
  "species": ["Ba", "Te", "Te", "H", "I"],
  "fractional_positions": [[0.0000, 0.0000, 0.0000], [0.0000, 0.5000, 0.0000], [0.5000, 0.0000, 0.0000], [0.5000, 0.5000, 0.5000], [0.0000, 0.0000, 0.5000]]
}

=====

Sorted by energy, starting with the most stable: i, ii.